[1]
Below is a relaxed Sm3NpN4 crystal, with properties calculated at the PBE level.

Output
Uncorrected energy, eV per atom: -8.955
Theoretical density, Mg/m³: 9.856

```
data_Sm3NpN4
_space_group_name_H-M_alt 'C m m m'
_space_group_IT_number 65
_space_group_name_Hall '-C 2 2'
_cell_length_a 7.104
_cell_length_b 9.960
_cell_length_c 3.544
_cell_angle_alpha 90.00
_cell_angle_beta 90.00
_cell_angle_gamma 90.00
loop_
_atom_site_label
_atom_site_type_symbol
_atom_site_fract_x
_atom_site_fract_y
_atom_site_fract_z
_atom_site_occupancy
Sm1 Sm 0.000 0.000 0.000 1
Sm2 Sm 0.250 0.250 0.500 1
Np1 Np 0.000 0.500 0.000 1
N1 N 0.000 0.268 0.000 1
N2 N 0.233 0.500 0.500 1
```

[2]
Below is a relaxed Ce5SbTe4 crystal, with properties calculated at the PBE level.

Output
Uncorrected energy, eV per atom: -5.946
Theoretical density, Mg/m³: 6.891

```
data_Ce5SbTe4
_space_group_name_H-M_alt 'I 4'
_space_group_IT_number 79
_space_group_name_Hall 'I 4'
_cell_length_a 10.050
_cell_length_b 10.050
_cell_length_c 6.358
_cell_angle_alpha 90.00
_cell_angle_beta 90.00
_cell_angle_gamma 90.00
loop_
_atom_site_label
_atom_site_type_symbol
_atom_site_fract_x
_atom_site_fract_y
_atom_site_fract_z
_atom_site_occupancy
Ce1 Ce 0.000 0.000 0.000 1
Ce2 Ce 0.100 0.702 0.498 1
Sb1 Sb 0.000 0.000 0.499 1
Te1 Te 0.099 0.699 0.998 1
```

[3]
Below is a relaxed Tc2AsOs crystal, with properties calculated at the PBE level.

Output
Uncorrected energy, eV per atom: -8.913
ΔH_f (0 K), eV/f.u.: 1.0
Theoretical density, Mg/m³: 12.990

```
data_Tc2AsOs
_space_group_name_H-M_alt 'P m m m'
_space_group_IT_number 47
_space_group_name_Hall '-P 2 2'
_cell_length_a 2.875
_cell_length_b 3.979
_cell_length_c 5.153
_cell_angle_alpha 90.00
_cell_angle_beta 90.00
_cell_angle_gamma 90.00
loop_
_atom_site_label
_atom_site_type_symbol
_atom_site_fract_x
_atom_site_fract_y
_atom_site_fract_z
_atom_site_occupancy
Tc1 Tc 0.000 0.000 0.248 1
As1 As 0.500 0.500 0.500 1
Os1 Os 0.500 0.500 0.000 1
```

- uncorrected energy of number 1 (Sm3NpN4)?
  -8.955 eV per atom